#A
# Nd2Y6Tm3 GGA-PBE optimized geometry
# Theoretical density: 5.9 Mg/m³
data_Nd2Y6Tm3
_chemical_formula_sum 'Nd4 Y12 Tm6'
_symmetry_space_group_name_H-M 'C 1 2/m 1'
_symmetry_Int_Tables_number 12
_cell_length_a 6.125
_cell_length_b 10.623
_cell_length_c 11.703
_cell_angle_alpha 90.00
_cell_angle_beta 100.14
_cell_angle_gamma 90.00
loop_
_symmetry_equiv_pos_as_xyz
'x,y,z'
'-x,-y,-z'
'-x,y,-z'
'x,-y,z'
'x+1/2,y+1/2,z'
'-x+1/2,-y+1/2,-z'
'-x+1/2,y+1/2,-z'
'x+1/2,-y+1/2,z'
loop_
_atom_site_label
_atom_site_fract_x
_atom_site_fract_y
_atom_site_fract_z
Nd1 0.000 0.167 0.000
Y1 0.249 0.167 0.746
Y2 0.249 0.500 0.746
Tm1 0.000 0.000 0.500
Tm2 0.000 0.335 0.500

***

#B
# Nd2Y6Tm3 GGA-PBE optimized geometry
# Theoretical density: 5.9 Mg/m³
data_Nd2Y6Tm3
_chemical_formula_sum 'Nd4 Y12 Tm6'
_symmetry_space_group_name_H-M 'I 4/m m m'
_symmetry_Int_Tables_number 139
_symmetry_space_group_name_Hall '-I 4 2'
_cell_length_a 4.732
_cell_length_b 4.732
_cell_length_c 33.451
_cell_angle_alpha 90.00
_cell_angle_beta 90.00
_cell_angle_gamma 90.00
loop_
_atom_site_label
_atom_site_fract_x
_atom_site_fract_y
_atom_site_fract_z
Nd1 0.000 0.000 0.045
Y1 0.000 0.000 0.199
Y2 0.000 0.500 0.122
Tm1 0.000 0.000 0.301
Tm2 0.000 0.000 0.500

***

Preferred: #A; penalty for the next structure: 99 meV/atom.

***

#A
# NdY3Tm4 GGA-PBE optimized geometry
# Theoretical density: 7.0 Mg/m³
data_NdY3Tm4
_chemical_formula_sum 'Nd2 Y6 Tm8'
_symmetry_space_group_name_H-M 'C 1 2/m 1'
_symmetry_Int_Tables_number 12
_cell_length_a 23.514
_cell_length_b 3.443
_cell_length_c 6.653
_cell_angle_alpha 90.00
_cell_angle_beta 106.36
_cell_angle_gamma 90.00
loop_
_symmetry_equiv_pos_as_xyz
'x,y,z'
'-x,-y,-z'
'-x,y,-z'
'x,-y,z'
'x+1/2,y+1/2,z'
'-x+1/2,-y+1/2,-z'
'-x+1/2,y+1/2,-z'
'x+1/2,-y+1/2,z'
loop_
_atom_site_label
_atom_site_fract_x
_atom_site_fract_y
_atom_site_fract_z
Nd1 0.000 0.000 0.000
Y1 0.000 0.500 0.500
Y2 0.128 0.500 0.374
Tm1 0.126 0.500 0.884
Tm2 0.240 0.000 0.232

***

#B
# NdY3Tm4 GGA-PBE optimized geometry
# Theoretical density: 7.1 Mg/m³
data_NdY3Tm4
_chemical_formula_sum 'Nd2 Y6 Tm8'
_symmetry_space_group_name_H-M 'P m n 21'
_symmetry_Int_Tables_number 31
_cell_length_a 11.229
_cell_length_b 7.258
_cell_length_c 6.257
_cell_angle_alpha 90.00
_cell_angle_beta 90.00
_cell_angle_gamma 90.00
loop_
_symmetry_equiv_pos_as_xyz
'x,y,z'
'-x+1/2,-y,z+1/2'
'-x,y,z'
'x+1/2,-y,z+1/2'
loop_
_atom_site_label
_atom_site_fract_x
_atom_site_fract_y
_atom_site_fract_z
Nd1 0.000 0.128 0.000
Y1 0.000 0.872 0.499
Y2 0.250 0.128 0.337
Tm1 0.000 0.379 0.504
Tm2 0.000 0.621 0.004
Tm3 0.249 0.622 0.336

***

Preferred: #B; penalty for the next structure: 173 meV/atom.

***

#A
# Nd7YTm3 GGA-PBE optimized geometry
# Theoretical density: 7.0 Mg/m³
data_Nd7YTm3
_chemical_formula_sum 'Nd14 Y2 Tm6'
_symmetry_space_group_name_H-M 'C 1 2/m 1'
_symmetry_Int_Tables_number 12
_cell_length_a 12.789
_cell_length_b 11.392
_cell_length_c 5.897
_cell_angle_alpha 90.00
_cell_angle_beta 117.36
_cell_angle_gamma 90.00
loop_
_symmetry_equiv_pos_as_xyz
'x,y,z'
'-x,-y,-z'
'-x,y,-z'
'x,-y,z'
'x+1/2,y+1/2,z'
'-x+1/2,-y+1/2,-z'
'-x+1/2,y+1/2,-z'
'x+1/2,-y+1/2,z'
loop_
_atom_site_label
_atom_site_fract_x
_atom_site_fract_y
_atom_site_fract_z
Nd1 0.000 0.000 0.000
Nd2 0.193 0.290 0.693
Nd3 0.207 0.500 0.205
Y1 0.000 0.000 0.500
Tm1 0.000 0.295 0.000
Tm2 0.000 0.500 0.500

***

#B
# Nd7YTm3 GGA-PBE optimized geometry
# Theoretical density: 6.8 Mg/m³
data_Nd7YTm3
_chemical_formula_sum 'Nd14 Y2 Tm6'
_symmetry_space_group_name_H-M 'P -1'
_symmetry_Int_Tables_number 2
_cell_length_a 7.200
_cell_length_b 10.272
_cell_length_c 12.534
_cell_angle_alpha 66.14
_cell_angle_beta 73.36
_cell_angle_gamma 69.51
loop_
_symmetry_equiv_pos_as_xyz
'x,y,z'
'-x,-y,-z'
loop_
_atom_site_label
_atom_site_fract_x
_atom_site_fract_y
_atom_site_fract_z
Nd1 0.079 0.308 0.028
Nd2 0.080 0.808 0.529
Nd3 0.219 0.750 0.250
Nd4 0.334 0.544 0.773
Nd5 0.348 0.044 0.273
Nd6 0.415 0.192 0.472
Nd7 0.417 0.692 0.971
Y1 0.000 0.000 0.000
Y2 0.000 0.500 0.500
Tm1 0.167 0.934 0.725
Tm2 0.175 0.433 0.225
Tm3 0.500 0.000 0.000
Tm4 0.500 0.500 0.500

***

Preferred: #B; penalty for the next structure: 44 meV/atom.